Material: NaLi2CdAg
Method: DFT, PBE
State: optimized geometry

Values from the calculation:
Magnetization = 0.00 μB/cell
Density = 3196 kg/m³
Space-group type = No. 123

abc: 4.9970 4.9970 5.3505
angles: 90.00 90.00 90.00
With the nearest neighbours (Å) after each atom.
Fractional positions:
Li 0.0000 0.5000 0.0000  2 Ag 2.50
Cd 0.0000 0.0000 0.5000  2 Ag 2.68
Ag 0.0000 0.0000 0.0000  4 Li 2.50, 2 Cd 2.68
Li 0.5000 0.0000 0.0000  2 Ag 2.50
Na 0.5000 0.5000 0.5000  4 Cd 3.53, 8 Li 3.66


Material: Na2LiCd5Ag2
Method: DFT, PBE
State: optimized geometry

Values from the calculation:
Magnetization = 0.00 μB/cell
Density = 6003 kg/m³
Space-group type = No. 127

abc: 3.5964 11.3043 11.3043
angles: 90.00 90.00 90.00
With the nearest neighbours (Å) after each atom.
Fractional positions:
Ag 0.0000 0.8661 0.3661  6 Cd 2.80-2.85, 1 Na 3.07
Ag 0.0000 0.1339 0.6339  6 Cd 2.80-2.85, 1 Na 3.07
Cd 0.5000 0.3132 0.5549  2 Li 2.84, 2 Ag 2.85, 2 Cd 3.11
Cd 0.5000 0.4451 0.3132  2 Li 2.84, 2 Ag 2.85, 2 Cd 3.11
Cd 0.5000 0.9451 0.1868  2 Li 2.84, 2 Ag 2.85, 2 Cd 3.11
Li 0.0000 0.5000 0.5000  8 Cd 2.84
Cd 0.5000 0.5549 0.6868  2 Li 2.84, 2 Ag 2.85, 2 Cd 3.11
Na 0.0000 0.8262 0.6738  1 Ag 3.07, 2 Cd 3.31
Na 0.0000 0.6738 0.1738  1 Ag 3.07, 2 Cd 3.31
Na 0.0000 0.1738 0.3262  1 Ag 3.07, 2 Cd 3.31
Ag 0.0000 0.6339 0.8661  6 Cd 2.80-2.85, 1 Na 3.07
Cd 0.5000 0.8132 0.9451  2 Li 2.84, 2 Ag 2.85, 2 Cd 3.11
Cd 0.5000 0.5000 0.0000  4 Ag 2.80
Cd 0.5000 0.0549 0.8132  2 Li 2.84, 2 Ag 2.85, 2 Cd 3.11
Cd 0.5000 0.6868 0.4451  2 Li 2.84, 2 Ag 2.85, 2 Cd 3.11
Li 0.0000 0.0000 0.0000  8 Cd 2.84
Na 0.0000 0.3262 0.8262  1 Ag 3.07, 2 Cd 3.31
Ag 0.0000 0.3661 0.1339  6 Cd 2.80-2.85, 1 Na 3.07
Cd 0.5000 0.1868 0.0549  2 Li 2.84, 2 Ag 2.85, 2 Cd 3.11
Cd 0.5000 0.0000 0.5000  4 Ag 2.80


Material: LiNdCdAg
Method: DFT, PBE
State: optimized geometry

Values from the calculation:
Magnetization = 0.00 μB/cell
Density = 6937 kg/m³
Space-group type = No. 216

abc: 5.0099 5.0099 5.0099
angles: 60.00 60.00 60.00
With the nearest neighbours (Å) after each atom.
Fractional positions:
Li 0.5000 0.5000 0.5000  4 Cd 3.07, 4 Nd 3.07
Ag 0.0000 0.0000 0.0000  4 Cd 3.07, 4 Nd 3.07
Cd 0.7500 0.7500 0.7500  4 Li 3.07, 4 Ag 3.07
Nd 0.2500 0.2500 0.2500  4 Ag 3.07, 4 Li 3.07


Material: Li2NdCd2Ag2
Method: DFT, PBE
State: optimized geometry

Values from the calculation:
Magnetization = 0.00 μB/cell
Density = 6667 kg/m³
Space-group type = No. 12

abc: 4.8120 4.8565 7.8060
angles: 107.10 90.00 119.70
With the nearest neighbours (Å) after each atom.
Fractional positions:
Nd 0.0000 0.0000 0.0000  6 Ag 3.17-3.18, 2 Li 3.25, 6 Cd 3.47-3.53
Ag 0.2674 0.5349 0.7949  1 Li 2.60, 3 Cd 2.85-2.86
Cd 0.4259 0.8517 0.2841  3 Ag 2.85-2.86, 3 Li 3.01-3.03, 1 Cd 3.17
Ag 0.7326 0.4651 0.2051  1 Li 2.60, 3 Cd 2.85-2.86
Cd 0.5741 0.1483 0.7159  3 Ag 2.85-2.86, 3 Li 3.01-3.03, 1 Cd 3.17
Li 0.1460 0.2920 0.4418  1 Ag 2.60, 1 Li 2.90
Li 0.8540 0.7080 0.5582  1 Ag 2.60, 1 Li 2.90


Material: LiNdCd4Ag2
Method: DFT, PBE
State: optimized geometry

Values from the calculation:
Magnetization = 0.00 μB/cell
Density = 7875 kg/m³
Space-group type = No. 166

abc: 4.9337 4.9337 8.6507
angles: 73.43 73.43 60.00
With the nearest neighbours (Å) after each atom.
Fractional positions:
Cd 0.3883 0.3883 0.8351  1 Li 2.74, 3 Ag 2.92
Li 0.5000 0.5000 0.5000  8 Cd 2.74-2.97
Cd 0.6117 0.6117 0.1649  1 Li 2.74, 3 Ag 2.92
Ag 0.7476 0.7476 0.7572  7 Cd 2.92-3.11
Cd 0.1320 0.1320 0.6039  4 Ag 2.95-3.11, 3 Li 2.97, 1 Nd 3.24
Cd 0.8680 0.8680 0.3961  4 Ag 2.95-3.11, 3 Li 2.97, 1 Nd 3.24
Ag 0.2524 0.2524 0.2428  7 Cd 2.92-3.11
Nd 0.0000 0.0000 0.0000  8 Cd 3.15-3.24, 6 Ag 3.47


Material: LiNd2Cd6Ag
Method: DFT, PBE
State: optimized geometry

Values from the calculation:
Magnetization = 0.00 μB/cell
Density = 7147 kg/m³
Space-group type = No. 2

abc: 7.0327 7.1062 7.0457
angles: 60.20 60.16 89.95
With the nearest neighbours (Å) after each atom.
Fractional positions:
Nd 0.3039 0.9144 0.3919  6 Cd 3.30-3.59, 1 Li 3.41
Cd 0.8433 0.3590 0.8088  1 Li 2.60, 1 Ag 2.76
Cd 0.6517 0.6425 0.5145  1 Li 2.61, 1 Ag 2.76
Cd 0.3483 0.3575 0.4855  1 Li 2.61, 1 Ag 2.76
Ag 0.0000 0.0000 0.0000  6 Cd 2.75-2.76
Cd 0.1567 0.6410 0.1912  1 Li 2.60, 1 Ag 2.76
Cd 0.8320 0.6424 0.0107  1 Li 2.60, 1 Ag 2.75
Nd 0.6961 0.0856 0.6081  6 Cd 3.30-3.59, 1 Li 3.41
Cd 0.1680 0.3576 0.9893  1 Li 2.60, 1 Ag 2.75
Li 0.5000 0.5000 0.0000  6 Cd 2.60-2.61


Material: Li2Cd4AgPb
Method: DFT, PBE
State: optimized geometry

Values from the calculation:
Magnetization = 0.00 μB/cell
Density = 7584 kg/m³
Space-group type = No. 166

abc: 4.9247 4.9247 8.6005
angles: 73.36 73.36 60.00
With the nearest neighbours (Å) after each atom.
Fractional positions:
Li 0.7483 0.7483 0.7550  7 Cd 2.88-3.11
Cd 0.6154 0.6154 0.1538  1 Ag 2.81, 3 Li 2.94, 3 Pb 3.11
Pb 0.0000 0.0000 0.0000  8 Cd 3.11-3.25, 6 Li 3.47
Li 0.2517 0.2517 0.2450  7 Cd 2.88-3.11
Cd 0.3846 0.3846 0.8462  1 Ag 2.81, 3 Li 2.94, 3 Pb 3.11
Cd 0.1333 0.1333 0.6001  4 Li 2.88-3.11, 3 Ag 2.96
Cd 0.8667 0.8667 0.3999  4 Li 2.88-3.11, 3 Ag 2.96
Ag 0.5000 0.5000 0.5000  8 Cd 2.81-2.96


Material: LiCd6AgPb
Method: DFT, PBE
State: optimized geometry

Values from the calculation:
Magnetization = 0.00 μB/cell
Density = 7427 kg/m³
Space-group type = No. 74

abc: 7.6200 10.0339 8.5819
angles: 125.77 116.36 90.00
With the nearest neighbours (Å) after each atom.
Fractional positions:
Cd 0.9388 0.1409 0.2609  1 Ag 2.80, 3 Cd 2.92-3.05, 1 Li 3.00
Cd 0.6779 0.3800 0.7391  1 Ag 2.80, 3 Cd 2.92-3.05, 1 Li 3.00
Ag 0.5000 0.0000 0.0000  6 Cd 2.67-2.80
Cd 0.3221 0.6200 0.2609  1 Ag 2.80, 3 Cd 2.92-3.05, 1 Li 3.00
Li 0.0000 0.0000 0.5000  6 Cd 2.76-3.00
Cd 0.4216 0.1716 0.8432  2 Ag 2.67, 2 Li 2.76
Cd 0.9388 0.6200 0.2609  1 Ag 2.80, 3 Cd 2.92-3.05, 1 Li 3.00
Pb 0.2818 0.5318 0.5636  10 Cd 3.32-3.63, 2 Ag 3.57
Pb 0.7182 0.4682 0.4364  10 Cd 3.32-3.63, 2 Ag 3.57
Cd 0.3221 0.1409 0.2609  1 Ag 2.80, 3 Cd 2.92-3.05, 1 Li 3.00
Cd 0.5784 0.8284 0.1568  2 Ag 2.67, 2 Li 2.76
Cd 0.6779 0.8591 0.7391  1 Ag 2.80, 3 Cd 2.92-3.05, 1 Li 3.00
Ag 0.5000 0.5000 0.0000  6 Cd 2.67-2.80
Cd 0.9701 0.2201 0.9402  2 Li 3.20, 8 Cd 3.22-3.38
Cd 0.0299 0.7799 0.0598  2 Li 3.20, 8 Cd 3.22-3.38
Li 0.5000 0.0000 0.5000  6 Cd 2.76-3.00
Cd 0.0612 0.8591 0.7391  1 Ag 2.80, 3 Cd 2.92-3.05, 1 Li 3.00
Cd 0.0612 0.3800 0.7391  1 Ag 2.80, 3 Cd 2.92-3.05, 1 Li 3.00


Results for formation energy from the elements: 0.027, -0.088, -0.218, -0.242, -0.204, -0.101, -0.137, 0.051 (in eV/atom, following the order of the records).